An optimized crystal structure of CeNd2I2N2. Source: Alexandria via LeMat-Bulk, functional PBE.

Output
raw total energy: -43.3 eV/f.u.
size of the total moment: 0.194 μB per atom
energy relative to the elements, uncorrected: -1.150 eV per atom
calculated volume: 28.28 Å³ per atom

a b c (Å): 4.5252 4.5252 19.3322
angles (deg): 90.00 90.00 90.00
Space group I4/mmm (No. 139)
Unique sites:
Ce (0.0000, 0.0000, 0.0000) [2 per cell]
Nd (0.0000, 0.0000, 0.4213) [4 per cell]
I (0.0000, 0.0000, 0.1673) [4 per cell]
N (0.0000, 0.5000, 0.0000) [4 per cell]